Record 1
VASP calculation (GGA-PBE) on a geometry-optimized RbMgI2O structure.

It has space group P4/mmm (No. 123), with a = 6.4217 Å, b = 6.4217 Å, c = 3.7970 Å, α = 90.00°, β = 90.00° and γ = 90.00°. The inequivalent atoms are Rb at (0.0000, 0.0000, 0.0000), Mg at (0.5000, 0.5000, 0.5000), I at (0.0000, 0.5000, 0.5000) and O at (0.5000, 0.5000, 0.0000).

The value obtained for the raw formation energy is -1142 meV/atom. The polymorph energy (0 for the lowest one) comes out at 0 meV per atom. For the density of states at the Fermi level, the calculation gives 0.8556 states/eV per atom. As for the volume: 156.58 Å³ per cell.



Record 2
VASP calculation (GGA-PBE) on a geometry-optimized Cs2Tl2Pd structure.

It has space group R-3m (No. 166, hexagonal axes), with a = 4.9247 Å, b = 4.9247 Å, c = 34.3716 Å, α = 90.00°, β = 90.00° and γ = 120.00°. The inequivalent atoms are Cs at (0.0000, 0.0000, 0.0713), Tl at (0.0000, 0.0000, 0.1877) and Pd at (0.0000, 0.0000, 0.5000).

The polymorph energy (0 for the lowest one) comes out at 1 meV per atom. The value obtained for the calculated formation energy is -0.09 eV/atom. For the density of states at the Fermi level, the calculation gives 0.7272 states/eV per atom. As for the volume: 721.91 Å³ per cell.



Record 3
VASP calculation (GGA-PBE) on a geometry-optimized CoCu2Br structure.

It has space group P4mm (No. 99), with a = 3.1430 Å, b = 3.1430 Å, c = 6.1754 Å, α = 90.00°, β = 90.00° and γ = 90.00°. The inequivalent atoms are Co at (0.0000, 0.0000, 0.0000), Cu at (0.0000, 0.0000, 0.4046), Cu at (0.5000, 0.5000, 0.2196) and Br at (0.5000, 0.5000, 0.7617).

The value obtained for the raw formation energy is 422 meV/atom. The polymorph energy (0 for the lowest one) comes out at 77 meV per atom. For the density of states at the Fermi level, the calculation gives 0.8379 states/eV per atom. As for the volume: 61.00 Å³ per cell.



Record 4
VASP calculation (GGA-PBE) on a geometry-optimized FeAsAu structure.

It has space group P3m1 (No. 156), with a = 2.9771 Å, b = 2.9771 Å, c = 6.4474 Å, α = 90.00°, β = 90.00° and γ = 120.00°. The inequivalent atoms are Fe at (0.0000, 0.0000, 0.0000), As at (0.3333, 0.6667, 0.2580) and Au at (0.6667, 0.3333, 0.6722).

The polymorph energy (0 for the lowest one) comes out at 0 meV per atom. The value obtained for the calculated formation energy is 0.16 eV/atom. For the density of states at the Fermi level, the calculation gives 0.6008 states/eV per atom. As for the volume: 49.49 Å³ per cell.



Record 5
VASP calculation (GGA-PBE) on a geometry-optimized Sm5Dy4Tl structure.

It has space group I4mm (No. 107), with a = 10.6452 Å, b = 10.6452 Å, c = 5.9281 Å, α = 90.00°, β = 90.00° and γ = 90.00°. The inequivalent atoms are Sm at (0.0000, 0.0000, 0.0000), Sm at (0.1871, 0.1871, 0.2866), Dy at (0.0000, 0.3183, 0.7997) and Tl at (0.0000, 0.0000, 0.5210).

The polymorph energy (0 for the lowest one) comes out at 128 meV per atom. The value obtained for the calculated formation energy is 0.16 eV/atom. For the density of states at the Fermi level, the calculation gives 1.4013 states/eV per atom. As for the volume: 671.78 Å³ per cell.



Record 6
VASP calculation (GGA-PBE) on a geometry-optimized Zr4Hg structure.

It has space group Im-3m (No. 229), with a = 6.4904 Å, b = 6.4904 Å, c = 6.4904 Å, α = 90.00°, β = 90.00° and γ = 90.00°. The inequivalent atoms are Zr at (0.2500, 0.2500, 0.2500) and Hg at (0.0000, 0.0000, 0.0000).

The polymorph energy (0 for the lowest one) comes out at 875 meV per atom. The value obtained for the calculated formation energy is 0.79 eV/atom. For the density of states at the Fermi level, the calculation gives 2.2823 states/eV per atom. As for the volume: 273.40 Å³ per cell.



Record 7
VASP calculation (GGA-PBE) on a geometry-optimized TbPm3Rh8 structure.

It has space group R3m (No. 160, hexagonal axes), with a = 5.3862 Å, b = 5.3862 Å, c = 26.3966 Å, α = 90.00°, β = 90.00° and γ = 120.00°. The inequivalent atoms are Tb at (0.0000, 0.0000, 0.0000), Pm at (0.0000, 0.0000, 0.1251), Pm at (0.0000, 0.0000, 0.5003), Pm at (0.0000, 0.0000, 0.6256), Rh at (0.0000, 0.0000, 0.3129), Rh at (0.0000, 0.0000, 0.8127), Rh at (0.9998, 0.4999, 0.0622) and Rh at (0.0006, 0.5003, 0.5633).

The value obtained for the calculated formation energy is -0.70 eV/atom. For the density of states at the Fermi level, the calculation gives 0.5688 states/eV per atom. As for the volume: 663.20 Å³ per cell.



Record 8
VASP calculation (GGA-PBE) on a geometry-optimized ScGaNi3 structure.

It has space group Pm-3m (No. 221), with a = 4.3345 Å, b = 4.3345 Å, c = 4.3345 Å, α = 90.00°, β = 90.00° and γ = 90.00°. The inequivalent atoms are Sc at (0.0000, 0.0000, 0.0000), Ga at (0.5000, 0.5000, 0.5000) and Ni at (0.0000, 0.5000, 0.5000).

The polymorph energy (0 for the lowest one) comes out at 456 meV per atom. The value obtained for the calculated formation energy is 0.17 eV/atom. For the density of states at the Fermi level, the calculation gives 0.8621 states/eV per atom. As for the volume: 81.43 Å³ per cell.



Record 9
VASP calculation (GGA-PBE) on a geometry-optimized CoGeSb2I structure.

It has space group P4/mmm (No. 123), with a = 4.8616 Å, b = 4.8616 Å, c = 5.5152 Å, α = 90.00°, β = 90.00° and γ = 90.00°. The inequivalent atoms are Co at (0.0000, 0.0000, 0.0000), Ge at (0.5000, 0.5000, 0.5000), Sb at (0.0000, 0.5000, 0.0000) and I at (0.0000, 0.0000, 0.5000).

The value obtained for the raw formation energy is 512 meV/atom. The polymorph energy (0 for the lowest one) comes out at 0 meV per atom. For the density of states at the Fermi level, the calculation gives 0.8244 states/eV per atom. As for the volume: 130.35 Å³ per cell.



Record 10
VASP calculation (GGA-PBE) on a geometry-optimized ZnCoCl2 structure.

It has space group F-43m (No. 216), with a = 6.6473 Å, b = 6.6473 Å, c = 6.6473 Å, α = 90.00°, β = 90.00° and γ = 90.00°. The inequivalent atoms are Zn at (0.0000, 0.0000, 0.0000), Co at (0.2500, 0.2500, 0.2500), Cl at (0.0000, 0.0000, 0.5000) and Cl at (0.2500, 0.2500, 0.7500).

The value obtained for the raw formation energy is 539 meV/atom. The polymorph energy (0 for the lowest one) comes out at 879 meV per atom. For the density of states at the Fermi level, the calculation gives 1.0559 states/eV per atom. As for the volume: 293.72 Å³ per cell.



Record 11
VASP calculation (GGA-PBE) on a geometry-optimized Zn2RuRh structure.

It has space group P4/mmm (No. 123), with a = 4.3372 Å, b = 4.3372 Å, c = 2.9526 Å, α = 90.00°, β = 90.00° and γ = 90.00°. The inequivalent atoms are Zn at (0.0000, 0.5000, 0.0000), Ru at (0.0000, 0.0000, 0.5000) and Rh at (0.5000, 0.5000, 0.5000).

The value obtained for the calculated formation energy is -0.10 eV/atom. For the density of states at the Fermi level, the calculation gives 1.1947 states/eV per atom. As for the volume: 55.54 Å³ per cell.



Record 12
VASP calculation (GGA-PBE) on a geometry-optimized TiSi2NiOs structure.

It has space group P4/mmm (No. 123), with a = 4.6450 Å, b = 4.6450 Å, c = 4.5261 Å, α = 90.00°, β = 90.00° and γ = 90.00°. The inequivalent atoms are Ti at (0.0000, 0.0000, 0.0000), Si at (0.0000, 0.5000, 0.0000), Ni at (0.5000, 0.5000, 0.5000) and Os at (0.0000, 0.0000, 0.5000).

The value obtained for the raw formation energy is 1404 meV/atom. For the density of states at the Fermi level, the calculation gives 1.0394 states/eV per atom. As for the volume: 97.65 Å³ per cell.